Material: NaNbNi2Cl
Method: DFT, PBE-GGA
State: relaxed

The energy relative to the elements, uncorrected is 132.42 kJ per mole of atoms. The value obtained for the total energy is -17.94 eV for the cell shown. The total magnetic moment is 0.1 Bohr magnetons per cell.

a = 4.4607 Å, b = 4.4607 Å, c = 4.4848 Å
α = 90.00°, β = 90.00°, γ = 90.00°
Positions (direct):
Na  0.0000  0.0000  0.0000
Nb  0.5000  0.5000  0.5000
Ni  0.0000  0.5000  0.0000
Ni  0.5000  0.0000  0.0000
Cl  0.0000  0.0000  0.5000



Material: Er7Cd2Ru2
Method: DFT, PBE-GGA
State: relaxed

The value obtained for the total energy is -54.63 eV for the cell shown. The calculation puts the offset from the most stable computed form at 1.91 kcal/mol of atoms. The total magnetic moment is 0.0 Bohr magnetons per cell.

a = 6.6835 Å, b = 6.6835 Å, c = 7.1162 Å
α = 90.00°, β = 90.00°, γ = 107.70°
Positions (direct):
Er  0.0000  0.0000  0.0000
Er  0.0000  0.5000  0.2511
Er  0.0000  0.5000  0.7489
Er  0.5000  0.0000  0.2511
Er  0.5000  0.0000  0.7489
Er  0.5000  0.5000  0.2401
Er  0.5000  0.5000  0.7599
Cd  0.1777  0.1777  0.5000
Cd  0.8223  0.8223  0.5000
Ru  0.2935  0.7065  0.0000
Ru  0.7065  0.2935  0.0000



Material: Er6TlRu2
Method: DFT, PBE-GGA
State: relaxed

The value obtained for the total energy is -103.28 eV for the cell shown. The total magnetic moment is 0.0 Bohr magnetons per cell.

a = 8.4287 Å, b = 8.4287 Å, c = 8.4287 Å
α = 113.12°, β = 112.04°, γ = 103.42°
Positions (direct):
Er  0.0331  0.2403  0.7927
Er  0.1825  0.2886  0.4711
Er  0.1825  0.7114  0.8939
Er  0.3318  0.0197  0.6879
Er  0.3318  0.6440  0.3121
Er  0.4476  0.2403  0.2073
Er  0.5524  0.7597  0.7927
Er  0.6682  0.3560  0.6879
Er  0.6682  0.9803  0.3121
Er  0.8175  0.2886  0.1061
Er  0.8175  0.7114  0.5289
Er  0.9669  0.7597  0.2073
Tl  0.0000  0.0000  0.0000
Tl  0.5000  0.5000  0.0000
Ru  0.1301  0.6301  0.5000
Ru  0.3285  0.0000  0.3285
Ru  0.6715  0.0000  0.6715
Ru  0.8699  0.3699  0.5000